1.
DFT (PBE) results for Sn2RuI after structural relaxation.

Cell lengths 5.178, 5.178, 5.178 Å; angles 60.00, 60.00, 60.00 degrees
Last column: magnetic moment on the atom in μB.
Atoms (fractional coordinates):
Sn (0.750, 0.750, 0.750)  -0.04
Sn (0.250, 0.250, 0.250)  -0.04
Ru (0.000, 0.000, 0.000)  1.26
I (0.500, 0.500, 0.500)  0.09

## Properties
As for the symmetry: Fm-3m. The volume is 98.2 Å³/f.u. Its spin magnetization is 0.3068 μB/atom.


2.
DFT (PBE) results for Sn2RuI after structural relaxation.

Cell lengths 6.626, 6.626, 8.066 Å; angles 65.75, 65.75, 90.00 degrees
Atoms (fractional coordinates):
Ru (0.250, 0.750, 0.500)
Ru (0.500, 0.500, 0.000)
Sn (0.521, 0.125, 0.250)
Sn (0.229, 0.625, 0.250)
Sn (0.875, 0.771, 0.750)
Sn (0.375, 0.479, 0.750)
I (0.750, 0.250, 0.500)
I (0.000, 0.000, 0.000)

## Properties
As for the symmetry: I-42d. The volume is 144.1 Å³/f.u. Its spin magnetization is 0.0000 μB/atom.


Structures ranked by computed energy, the most stable listed first: 2, 1.


1.
DFT (PBE) results for Sn3RuI after structural relaxation.

Cell lengths 5.190, 5.190, 5.190 Å; angles 90.00, 90.00, 90.00 degrees
Atoms (fractional coordinates):
Sn (0.000, 0.000, 0.500)
Sn (0.000, 0.500, 0.000)
Sn (0.500, 0.000, 0.000)
Ru (0.000, 0.000, 0.000)
I (0.500, 0.500, 0.500)

## Properties
As for the symmetry: Pm-3m. The volume is 139.8 Å³/f.u. Its spin magnetization is 0.0000 μB/atom.


2.
DFT (PBE) results for Sn3RuI after structural relaxation.

Cell lengths 5.783, 5.783, 5.783 Å; angles 90.00, 90.00, 90.00 degrees
Last column: magnetic moment on the atom in μB.
Atoms (fractional coordinates):
I (0.000, 0.000, 0.000)  -0.01
Sn (0.000, 0.000, 0.500)  -0.03
Sn (0.000, 0.500, 0.000)  -0.04
Sn (0.500, 0.000, 0.000)  0.01
Ru (0.500, 0.500, 0.500)  2.41

## Properties
As for the symmetry: Pm-3m. The volume is 193.4 Å³/f.u. Its spin magnetization is 0.5129 μB/atom.


Structures ranked by computed energy, the most stable listed first: 1, 2.


1.
DFT (PBE) results for SnTeRuI2 after structural relaxation.

Cell lengths 5.905, 5.905, 5.835 Å; angles 90.00, 90.00, 90.00 degrees
Last column: magnetic moment on the atom in μB.
Atoms (fractional coordinates):
Ru (0.500, 0.500, 0.500)  2.77
I (0.500, 0.000, 0.000)  0.04
I (0.000, 0.500, 0.000)  0.04
Sn (0.000, 0.000, 0.000)  -0.01
Te (0.000, 0.000, 0.500)  0.08

## Properties
As for the symmetry: P4/mmm. The volume is 203.5 Å³/f.u. Its spin magnetization is 0.6775 μB/atom.


2.
DFT (PBE) results for SnTeRuI2 after structural relaxation.

Cell lengths 5.449, 5.449, 5.171 Å; angles 90.00, 90.00, 90.00 degrees
Atoms (fractional coordinates):
Te (0.000, 0.000, 0.500)
Ru (0.000, 0.000, 0.000)
I (0.000, 0.500, 0.000)
I (0.500, 0.000, 0.000)
Sn (0.500, 0.500, 0.500)

## Properties
As for the symmetry: P4/mmm. The volume is 153.6 Å³/f.u. Its spin magnetization is 0.0000 μB/atom.


Structures ranked by computed energy, the most stable listed first: 2, 1.


1.
DFT (PBE) results for Sr2RuI after structural relaxation.

Cell lengths 8.468, 8.468, 6.974 Å; angles 52.62, 52.62, 90.00 degrees
Atoms (fractional coordinates):
Sr (0.569, 0.125, 0.250)
Sr (0.375, 0.431, 0.750)
Sr (0.181, 0.625, 0.250)
Sr (0.875, 0.819, 0.750)
Ru (0.500, 0.500, 0.000)
Ru (0.250, 0.750, 0.500)
I (0.000, 0.000, 0.000)
I (0.750, 0.250, 0.500)

## Properties
As for the symmetry: I-42d. The volume is 128.2 Å³/f.u. Its spin magnetization is 0.0002 μB/atom.


2.
DFT (PBE) results for Sr2RuI after structural relaxation.

Cell lengths 5.533, 5.533, 5.533 Å; angles 60.00, 60.00, 60.00 degrees
Last column: magnetic moment on the atom in μB.
Atoms (fractional coordinates):
I (0.500, 0.500, 0.500)  0.04
Sr (0.250, 0.250, 0.250)  -0.04
Sr (0.750, 0.750, 0.750)  -0.04
Ru (0.000, 0.000, 0.000)  1.09

## Properties
As for the symmetry: Fm-3m. The volume is 119.8 Å³/f.u. Its spin magnetization is 0.2500 μB/atom.


Structures ranked by computed energy, the most stable listed first: 2, 1.


1.
DFT (PBE) results for SrRuI3 after structural relaxation.

Cell lengths 5.452, 5.452, 5.452 Å; angles 90.00, 90.00, 90.00 degrees
Atoms (fractional coordinates):
Sr (0.500, 0.500, 0.500)
I (0.500, 0.000, 0.000)
I (0.000, 0.500, 0.000)
I (0.000, 0.000, 0.500)
Ru (0.000, 0.000, 0.000)

## Properties
As for the symmetry: Pm-3m. The volume is 162.1 Å³/f.u. Its spin magnetization is 0.0000 μB/atom.


2.
DFT (PBE) results for SrRuI3 after structural relaxation.

Cell lengths 6.333, 6.333, 6.333 Å; angles 90.00, 90.00, 90.00 degrees
Last column: magnetic moment on the atom in μB.
Atoms (fractional coordinates):
Ru (0.500, 0.500, 0.500)  2.66
I (0.000, 0.000, 0.500)  0.00
I (0.000, 0.500, 0.000)  0.01
I (0.500, 0.000, 0.000)  0.01
Sr (0.000, 0.000, 0.000)  0.00

## Properties
As for the symmetry: Pm-3m. The volume is 254.0 Å³/f.u. Its spin magnetization is 0.6000 μB/atom.


Structures ranked by computed energy, the most stable listed first: 1, 2.


1.
DFT (PBE) results for SrTe2RuI after structural relaxation.

Cell lengths 5.294, 5.294, 5.618 Å; angles 90.00, 90.00, 90.00 degrees
Last column: magnetic moment on the atom in μB.
Atoms (fractional coordinates):
I (0.000, 0.000, 0.500)  0.00
Te (0.500, 0.000, 0.000)  0.11
Te (0.000, 0.500, 0.000)  0.11
Ru (0.000, 0.000, 0.000)  0.76
Sr (0.500, 0.500, 0.500)  0.01

## Properties
As for the symmetry: P4/mmm. The volume is 157.4 Å³/f.u. Its spin magnetization is 0.2505 μB/atom.


2.
DFT (PBE) results for SrTe2RuI after structural relaxation.

Cell lengths 6.171, 6.171, 6.139 Å; angles 90.00, 90.00, 90.00 degrees
Last column: magnetic moment on the atom in μB.
Atoms (fractional coordinates):
Te (0.000, 0.500, 0.000)  0.21
Te (0.500, 0.000, 0.000)  0.21
I (0.000, 0.000, 0.500)  0.11
Ru (0.500, 0.500, 0.500)  2.79
Sr (0.000, 0.000, 0.000)  0.00

## Properties
As for the symmetry: P4/mmm. The volume is 233.8 Å³/f.u. Its spin magnetization is 0.8159 μB/atom.


Structures ranked by computed energy, the most stable listed first: 1, 2.


1.
DFT (PBE) results for TaRu2I after structural relaxation.

Cell lengths 5.725, 5.725, 7.230 Å; angles 66.68, 66.68, 90.00 degrees
Atoms (fractional coordinates):
Ru (0.645, 0.125, 0.250)
Ru (0.875, 0.895, 0.750)
Ru (0.375, 0.355, 0.750)
Ru (0.105, 0.625, 0.250)
Ta (0.000, 0.000, 0.000)
Ta (0.750, 0.250, 0.500)
I (0.500, 0.500, 0.000)
I (0.250, 0.750, 0.500)

## Properties
As for the symmetry: I-42d. The volume is 98.2 Å³/f.u. Its spin magnetization is 0.0000 μB/atom.


2.
DFT (PBE) results for TaRu2I after structural relaxation.

Cell lengths 4.632, 4.632, 4.632 Å; angles 60.00, 60.00, 60.00 degrees
Last column: magnetic moment on the atom in μB.
Atoms (fractional coordinates):
Ta (0.500, 0.500, 0.500)  -0.13
Ru (0.750, 0.750, 0.750)  0.72
Ru (0.250, 0.250, 0.250)  0.72
I (0.000, 0.000, 0.000)  0.10

## Properties
As for the symmetry: Fm-3m. The volume is 70.3 Å³/f.u. Its spin magnetization is 0.3521 μB/atom.


Structures ranked by computed energy, the most stable listed first: 2, 1.


1.
DFT (PBE) results for Ta3RuI after structural relaxation.

Cell lengths 4.882, 4.882, 4.882 Å; angles 90.00, 90.00, 90.00 degrees
Atoms (fractional coordinates):
Ta (0.000, 0.500, 0.000)
Ta (0.000, 0.000, 0.500)
Ta (0.500, 0.000, 0.000)
Ru (0.000, 0.000, 0.000)
I (0.500, 0.500, 0.500)

## Properties
As for the symmetry: Pm-3m. The volume is 116.4 Å³/f.u. Its spin magnetization is 0.0000 μB/atom.


2.
DFT (PBE) results for Ta3RuI after structural relaxation.

Cell lengths 4.901, 4.901, 4.901 Å; angles 90.00, 90.00, 90.00 degrees
Atoms (fractional coordinates):
Ru (0.500, 0.500, 0.500)
I (0.000, 0.000, 0.000)
Ta (0.500, 0.000, 0.000)
Ta (0.000, 0.000, 0.500)
Ta (0.000, 0.500, 0.000)

## Properties
As for the symmetry: Pm-3m. The volume is 117.7 Å³/f.u. Its spin magnetization is 0.0000 μB/atom.


Structures ranked by computed energy, the most stable listed first: 1, 2.


1.
DFT (PBE) results for Tb3RuI after structural relaxation.

Cell lengths 4.090, 7.248, 9.968 Å; angles 90.00, 90.00, 90.00 degrees
Atoms (fractional coordinates):
Tb (0.750, 0.503, 0.142)
Tb (0.250, 0.003, 0.858)
Tb (0.750, 0.250, 0.628)
Tb (0.750, 0.997, 0.142)
Tb (0.250, 0.750, 0.372)
Tb (0.250, 0.497, 0.858)
Ru (0.250, 0.750, 0.096)
Ru (0.750, 0.250, 0.904)
I (0.750, 0.750, 0.636)
I (0.250, 0.250, 0.364)

## Properties
As for the symmetry: Pmmn. The volume is 147.8 Å³/f.u. Its spin magnetization is 0.0000 μB/atom.


2.
DFT (PBE) results for Tb3RuI after structural relaxation.

Cell lengths 3.842, 8.022, 10.124 Å; angles 106.97, 90.00, 103.86 degrees
Atoms (fractional coordinates):
Tb (0.232, 0.465, 0.644)
Tb (0.027, 0.054, 0.357)
Tb (0.658, 0.316, 0.882)
Tb (0.342, 0.684, 0.118)
Tb (0.768, 0.535, 0.356)
Tb (0.973, 0.946, 0.643)
Ru (0.598, 0.195, 0.589)
Ru (0.402, 0.805, 0.411)
I (0.879, 0.757, 0.880)
I (0.121, 0.243, 0.120)

## Properties
As for the symmetry: C2/m. The volume is 144.5 Å³/f.u. Its spin magnetization is 0.0000 μB/atom.


Structures ranked by computed energy, the most stable listed first: 2, 1.


1.
DFT (PBE) results for Tb2RuI after structural relaxation.

Cell lengths 3.499, 3.499, 8.379 Å; angles 90.00, 90.00, 90.00 degrees
Atoms (fractional coordinates):
Ru (0.500, 0.500, 0.000)
Tb (0.000, 0.000, 0.198)
Tb (0.000, 0.000, 0.802)
I (0.500, 0.500, 0.500)

## Properties
As for the symmetry: P4/mmm. The volume is 102.6 Å³/f.u. Its spin magnetization is 0.0000 μB/atom.


2.
DFT (PBE) results for Tb2RuI after structural relaxation.

Cell lengths 4.121, 4.117, 8.530 Å; angles 85.67, 105.88, 126.13 degrees
Atoms (fractional coordinates):
Tb (0.460, 0.005, 0.240)
Tb (0.586, 0.501, 0.863)
I (0.023, 0.753, 0.552)
Ru (0.023, 0.253, 0.052)

## Properties
As for the symmetry: C2/m. The volume is 111.8 Å³/f.u. Its spin magnetization is 0.0000 μB/atom.


Structures ranked by computed energy, the most stable listed first: 2, 1.


1.
DFT (PBE) results for Tc2RuI after structural relaxation.

Cell lengths 5.728, 5.728, 7.062 Å; angles 66.07, 66.07, 90.00 degrees
Atoms (fractional coordinates):
I (0.750, 0.250, 0.500)
I (0.000, 0.000, 0.000)
Tc (0.165, 0.625, 0.250)
Tc (0.375, 0.415, 0.750)
Tc (0.875, 0.835, 0.750)
Tc (0.585, 0.125, 0.250)
Ru (0.500, 0.500, 0.000)
Ru (0.250, 0.750, 0.500)

## Properties
As for the symmetry: I-42d. The volume is 94.9 Å³/f.u. Its spin magnetization is 0.0000 μB/atom.


2.
DFT (PBE) results for Tc2RuI after structural relaxation.

Cell lengths 4.501, 4.501, 4.501 Å; angles 60.00, 60.00, 60.00 degrees
Atoms (fractional coordinates):
I (0.500, 0.500, 0.500)
Tc (0.750, 0.750, 0.750)
Tc (0.250, 0.250, 0.250)
Ru (0.000, 0.000, 0.000)

## Properties
As for the symmetry: Fm-3m. The volume is 64.5 Å³/f.u. Its spin magnetization is 0.0000 μB/atom.


Structures ranked by computed energy, the most stable listed first: 2, 1.


1.
DFT (PBE) results for TeRuI2 after structural relaxation.

Cell lengths 7.560, 7.560, 6.989 Å; angles 57.26, 57.26, 90.00 degrees
Atoms (fractional coordinates):
I (0.875, 0.802, 0.750)
I (0.552, 0.125, 0.250)
I (0.198, 0.625, 0.250)
I (0.375, 0.448, 0.750)
Ru (0.250, 0.750, 0.500)
Ru (0.500, 0.500, 0.000)
Te (0.000, 0.000, 0.000)
Te (0.750, 0.250, 0.500)

## Properties
As for the symmetry: I-42d. The volume is 128.7 Å³/f.u. Its spin magnetization is 0.0000 μB/atom.


2.
DFT (PBE) results for TeRuI2 after structural relaxation.

Cell lengths 5.290, 5.290, 5.290 Å; angles 60.00, 60.00, 60.00 degrees
Last column: magnetic moment on the atom in μB.
Atoms (fractional coordinates):
Ru (0.000, 0.000, 0.000)  1.92
I (0.250, 0.250, 0.250)  0.02
I (0.750, 0.750, 0.750)  0.02
Te (0.500, 0.500, 0.500)  -0.06

## Properties
As for the symmetry: Fm-3m. The volume is 104.7 Å³/f.u. Its spin magnetization is 0.4887 μB/atom.


Structures ranked by computed energy, the most stable listed first: 1, 2.


1.
DFT (PBE) results for Te2RuI2 after structural relaxation.

Cell lengths 7.181, 7.181, 7.399 Å; angles 90.00, 90.00, 90.00 degrees
Last column: magnetic moment on the atom in μB.
Atoms (fractional coordinates):
I (0.823, 0.677, 0.000)  0.05
I (0.677, 0.177, 0.000)  0.05
I (0.323, 0.823, 0.000)  0.05
I (0.177, 0.323, 0.000)  0.05
Te (0.629, 0.871, 0.500)  -0.19
Te (0.129, 0.629, 0.500)  -0.19
Te (0.871, 0.371, 0.500)  -0.19
Te (0.371, 0.129, 0.500)  -0.19
Ru (0.000, 0.000, 0.000)  1.42
Ru (0.500, 0.500, 0.000)  1.45

## Properties
As for the symmetry: P4/mbm. The volume is 190.7 Å³/f.u. Its spin magnetization is 0.2062 μB/atom.


2.
DFT (PBE) results for Te2RuI2 after structural relaxation.

Cell lengths 4.033, 4.033, 12.178 Å; angles 80.47, 80.47, 90.00 degrees
Last column: magnetic moment on the atom in μB.
Atoms (fractional coordinates):
Ru (0.000, 0.000, 0.000)  2.93
Te (0.750, 0.250, 0.500)  0.00
Te (0.250, 0.750, 0.500)  0.00
I (0.574, 0.574, 0.852)  0.23
I (0.426, 0.426, 0.148)  0.23

## Properties
As for the symmetry: I4/mmm. The volume is 192.6 Å³/f.u. Its spin magnetization is 0.7596 μB/atom.


Structures ranked by computed energy, the most stable listed first: 1, 2.